The following is a meta-GGA SCAN calculation of a crystal of MgScP relaxed with PBEsol, from Alexandria.

Results
crystal system	trigonal
size of the total moment	0.0	μB per formula unit
final energy	-10.604	eV/atom

a b c (Å): 3.7337 3.7337 5.4653
angles (deg): 90.00 90.00 120.00
Space group P3m1 (No. 156)
Asymmetric unit:
Mg (0.0000, 0.0000, 0.0000)
Sc (0.6667, 0.3333, 0.4846)
P (0.3333, 0.6667, 0.7270)